Computed, not measured: a geometry-optimized CaCdHg structure at the PBE level of DFT.

Results
V in A^3/atom: 26.1
Fermi-level density of states in states/eV per atom: 0.649
ΔE_f in meV per atom: -402
Crystal system: orthorhombic

Geometry as CIF:
```
data_CaCdHg
_symmetry_space_group_name_H-M 'P m m a'
_symmetry_Int_Tables_number 51
_cell_length_a 5.007
_cell_length_b 3.608
_cell_length_c 8.684
_cell_angle_alpha 90.00
_cell_angle_beta 90.00
_cell_angle_gamma 90.00
loop_
_symmetry_equiv_pos_as_xyz
'x,y,z'
'-x,-y,-z'
'-x+1/2,-y,z'
'x+1/2,y,-z'
'x+1/2,-y,-z'
'-x+1/2,y,z'
'-x,y,-z'
'x,-y,z'
loop_
_atom_site_label
_atom_site_type_symbol
_atom_site_fract_x
_atom_site_fract_y
_atom_site_fract_z
Ca1 Ca 0.250 0.000 0.236
Cd1 Cd 0.250 0.500 0.578
Hg1 Hg 0.250 0.500 0.909
```